[1]
CdRe2Rh2: optimized geometry, PBE.

Summary:
Magnetization = 0.0 μB per formula unit
ΔE to the lowest computed polymorph = 66 meV per atom
Symmetry = P4/mbm, No. 127
E_form = 0.27 eV/atom

Unit cell a=7.7158 b=7.7158 c=2.7170 alpha=90.00 beta=90.00 gamma=90.00
Fractional coordinates of all 10 atoms:
Cd 0.0000 0.0000 0.0000
Cd 0.5000 0.5000 0.0000
Re 0.1701 0.3299 0.5000
Re 0.3299 0.8299 0.5000
Re 0.6701 0.1701 0.5000
Re 0.8299 0.6701 0.5000
Rh 0.1233 0.6233 0.0000
Rh 0.3767 0.1233 0.0000
Rh 0.6233 0.8767 0.0000
Rh 0.8767 0.3767 0.0000


[2]
Y2AgO2: optimized geometry, PBE.

Summary:
Magnetization = 0.0 μB per formula unit
Formation energy from raw total energies = -2.4299 eV per atom
Symmetry = I4/mmm, No. 139

Unit cell a=3.9414 b=3.9414 c=12.0284 alpha=90.00 beta=90.00 gamma=90.00
Fractional coordinates of all 10 atoms:
Y 0.0000 0.0000 0.1595
Y 0.0000 0.0000 0.8405
Y 0.5000 0.5000 0.3405
Y 0.5000 0.5000 0.6595
Ag 0.0000 0.0000 0.5000
Ag 0.5000 0.5000 0.0000
O 0.0000 0.5000 0.2500
O 0.0000 0.5000 0.7500
O 0.5000 0.0000 0.2500
O 0.5000 0.0000 0.7500


[3]
Tl2ReAg: optimized geometry, PBE.

Summary:
Magnetization = 0.0 μB per formula unit
ΔE to the lowest computed polymorph = 32 meV per atom
Symmetry = R-3m, No. 166
E_form = 0.77 eV/atom

Unit cell a=3.1382 b=3.1382 c=28.6944 alpha=90.00 beta=90.00 gamma=120.00
Fractional coordinates of all 12 atoms:
Tl 0.0000 0.0000 0.2468
Tl 0.0000 0.0000 0.7532
Tl 0.3333 0.6667 0.4199
Tl 0.3333 0.6667 0.9134
Tl 0.6667 0.3333 0.0866
Tl 0.6667 0.3333 0.5801
Re 0.0000 0.0000 0.5000
Re 0.3333 0.6667 0.1667
Re 0.6667 0.3333 0.8333
Ag 0.0000 0.0000 0.0000
Ag 0.3333 0.6667 0.6667
Ag 0.6667 0.3333 0.3333


[4]
GdTmGe: optimized geometry, PBE.

Summary:
Magnetization = 7.4 μB per formula unit
Symmetry = I4mm, No. 107
E_form = -0.45 eV/atom

Unit cell a=3.4598 b=3.4598 c=13.0579 alpha=90.00 beta=90.00 gamma=90.00
Fractional coordinates of all 6 atoms:
Gd 0.0000 0.0000 0.0000
Gd 0.5000 0.5000 0.5000
Tm 0.0000 0.0000 0.7178
Tm 0.5000 0.5000 0.2178
Ge 0.0000 0.0000 0.3547
Ge 0.5000 0.5000 0.8547


[5]
Hf2ScV2: optimized geometry, PBE.

Summary:
Magnetization = 0.0 μB per formula unit
Symmetry = P4/mbm, No. 127
E_form = 0.17 eV/atom

Unit cell a=7.4676 b=7.4676 c=3.4713 alpha=90.00 beta=90.00 gamma=90.00
Fractional coordinates of all 10 atoms:
Hf 0.1726 0.3274 0.0000
Hf 0.3274 0.8274 0.0000
Hf 0.6726 0.1726 0.0000
Hf 0.8274 0.6726 0.0000
Sc 0.0000 0.0000 0.5000
Sc 0.5000 0.5000 0.5000
V 0.1173 0.6173 0.5000
V 0.3827 0.1173 0.5000
V 0.6173 0.8827 0.5000
V 0.8827 0.3827 0.5000


[6]
NaIr3Au: optimized geometry, PBE.

Summary:
Magnetization = 3.5 μB per formula unit
ΔE to the lowest computed polymorph = 0 meV per atom
Symmetry = Pm-3m, No. 221
E_form = 1.97 eV/atom

Unit cell a=4.9598 b=4.9598 c=4.9598 alpha=90.00 beta=90.00 gamma=90.00
Fractional coordinates of all 5 atoms:
Na 0.0000 0.0000 0.0000
Ir 0.0000 0.5000 0.5000
Ir 0.5000 0.0000 0.5000
Ir 0.5000 0.5000 0.0000
Au 0.5000 0.5000 0.5000


[7]
Ba5AgAu: optimized geometry, PBE.

Summary:
Magnetization = 0.0 μB per formula unit
Symmetry = P2_1/m, No. 11
E_form = -0.27 eV/atom

Unit cell a=9.3600 b=4.7789 c=15.2804 alpha=90.00 beta=93.01 gamma=90.00
Fractional coordinates of all 14 atoms:
Ba 0.0601 0.2500 0.1722
Ba 0.1409 0.7500 0.5736
Ba 0.3185 0.7500 0.0148
Ba 0.3467 0.2500 0.7762
Ba 0.3634 0.2500 0.3781
Ba 0.6366 0.7500 0.6219
Ba 0.6533 0.7500 0.2238
Ba 0.6815 0.2500 0.9852
Ba 0.8591 0.2500 0.4264
Ba 0.9399 0.7500 0.8278
Ag 0.0776 0.7500 0.3421
Ag 0.9224 0.2500 0.6579
Au 0.4282 0.2500 0.1517
Au 0.5718 0.7500 0.8483


[8]
PPtSe2: optimized geometry, PBE.

Summary:
Magnetization = 0.0 μB per formula unit
Formation energy from raw total energies = 0.2442 eV per atom
Symmetry = I-42d, No. 122

Unit cell a=5.4115 b=5.4115 c=12.8661 alpha=90.00 beta=90.00 gamma=90.00
Fractional coordinates of all 16 atoms:
P 0.0000 0.0000 0.0000
P 0.0000 0.5000 0.2500
P 0.5000 0.0000 0.7500
P 0.5000 0.5000 0.5000
Pt 0.0000 0.0000 0.5000
Pt 0.0000 0.5000 0.7500
Pt 0.5000 0.0000 0.2500
Pt 0.5000 0.5000 0.0000
Se 0.2443 0.2500 0.6250
Se 0.2500 0.7443 0.8750
Se 0.2500 0.7557 0.3750
Se 0.2557 0.2500 0.1250
Se 0.7443 0.7500 0.1250
Se 0.7500 0.2443 0.3750
Se 0.7500 0.2557 0.8750
Se 0.7557 0.7500 0.6250


[9]
Fe3SBr: optimized geometry, PBE.

Summary:
Magnetization = 9.0 μB per formula unit
ΔE to the lowest computed polymorph = 0 meV per atom
Formation energy from raw total energies = 0.4276 eV per atom
Symmetry = Pm-3m, No. 221

Unit cell a=4.4135 b=4.4135 c=4.4135 alpha=90.00 beta=90.00 gamma=90.00
Fractional coordinates of all 5 atoms:
Fe 0.0000 0.0000 0.5000
Fe 0.0000 0.5000 0.0000
Fe 0.5000 0.0000 0.0000
S 0.0000 0.0000 0.0000
Br 0.5000 0.5000 0.5000


[10]
LiSc2Tl: optimized geometry, PBE.

Summary:
Magnetization = 0.7 μB per formula unit
Symmetry = I-42d, No. 122
E_form = 0.17 eV/atom

Unit cell a=7.9646 b=7.9646 c=5.8448 alpha=90.00 beta=90.00 gamma=90.00
Fractional coordinates of all 16 atoms:
Li 0.0000 0.0000 0.0000
Li 0.0000 0.5000 0.2500
Li 0.5000 0.0000 0.7500
Li 0.5000 0.5000 0.5000
Sc 0.2428 0.7500 0.1250
Sc 0.2500 0.2428 0.8750
Sc 0.2500 0.2572 0.3750
Sc 0.2572 0.7500 0.6250
Sc 0.7428 0.2500 0.6250
Sc 0.7500 0.7428 0.3750
Sc 0.7500 0.7572 0.8750
Sc 0.7572 0.2500 0.1250
Tl 0.0000 0.0000 0.5000
Tl 0.0000 0.5000 0.7500
Tl 0.5000 0.0000 0.2500
Tl 0.5000 0.5000 0.0000


[11]
LiCr2Pd: optimized geometry, PBE.

Summary:
Magnetization = 0.0 μB per formula unit
ΔE to the lowest computed polymorph = 0 meV per atom
Symmetry = Fm-3m, No. 225
E_form = 0.70 eV/atom

Unit cell a=5.9231 b=5.9231 c=5.9231 alpha=90.00 beta=90.00 gamma=90.00
Fractional coordinates of all 16 atoms:
Li 0.0000 0.0000 0.0000
Li 0.0000 0.5000 0.5000
Li 0.5000 0.0000 0.5000
Li 0.5000 0.5000 0.0000
Cr 0.2500 0.2500 0.2500
Cr 0.2500 0.2500 0.7500
Cr 0.2500 0.7500 0.2500
Cr 0.2500 0.7500 0.7500
Cr 0.7500 0.2500 0.2500
Cr 0.7500 0.2500 0.7500
Cr 0.7500 0.7500 0.2500
Cr 0.7500 0.7500 0.7500
Pd 0.0000 0.0000 0.5000
Pd 0.0000 0.5000 0.0000
Pd 0.5000 0.0000 0.0000
Pd 0.5000 0.5000 0.5000


[12]
Na3RuI: optimized geometry, PBE.

Summary:
Magnetization = 2.0 μB per formula unit
ΔE to the lowest computed polymorph = 0 meV per atom
Formation energy from raw total energies = 0.5415 eV per atom
Symmetry = Pm-3m, No. 221

Unit cell a=5.7268 b=5.7268 c=5.7268 alpha=90.00 beta=90.00 gamma=90.00
Fractional coordinates of all 5 atoms:
Na 0.0000 0.0000 0.5000
Na 0.0000 0.5000 0.0000
Na 0.5000 0.0000 0.0000
Ru 0.0000 0.0000 0.0000
I 0.5000 0.5000 0.5000


> The highest magnetization belongs to which entry?

Fe3SBr